VASP calculation (GGA-PBE) on In2CuCl6 after structural relaxation.

Output
magnetization	0.00	μB per cell
raw formation energy	-0.81	eV/atom

Cell: 7.5097 10.5559 10.5559 Å, 77.85 68.08 68.08°
Closest atoms and distances in Å follow each position.
Sites, in units of the cell vectors:
1 In 0.3970 0.1440 0.3695  5 Cl 2.55-2.69
2 In 0.1030 0.6305 0.8560  5 Cl 2.55-2.69
3 In 0.6030 0.8560 0.6305  5 Cl 2.55-2.69
4 In 0.8970 0.3695 0.1440  5 Cl 2.55-2.69
5 Cl 0.4323 0.9973 0.1906  1 Cu 2.13
6 Cl 0.4461 0.6659 0.6918  2 In 2.55-2.63
7 Cl 0.2485 0.0381 0.6101  2 In 2.56-2.69
8 Cl 0.0539 0.3082 0.3341  2 In 2.55-2.63
9 Cl 0.5539 0.3341 0.3082  2 In 2.55-2.63
10 Cl 0.7485 0.6101 0.0381  2 In 2.56-2.69
11 Cl 0.7515 0.9619 0.3899  2 In 2.56-2.69
12 Cl 0.0677 0.8094 0.0027  1 Cu 2.13
13 Cl 0.9323 0.1906 0.9973  1 Cu 2.13
14 Cl 0.2515 0.3899 0.9619  2 In 2.56-2.69
15 Cl 0.5677 0.0027 0.8094  1 Cu 2.13
16 Cl 0.9461 0.6918 0.6659  2 In 2.55-2.63
17 Cu 0.7500 0.8994 0.1006  2 Cl 2.13
18 Cu 0.2500 0.1006 0.8994  2 Cl 2.13

VASP calculation (GGA-PBE) on In2CuCl after structural relaxation.

Output
magnetization	0.00	μB per cell
raw formation energy	-0.20	eV/atom
relative energy among the computed polymorphs	0.000	eV per atom

Cell: 7.8214 7.8214 3.6197 Å, 90.04 90.04 26.37°
Closest atoms and distances in Å follow each position.
Sites, in units of the cell vectors:
1 In 0.2720 0.2720 0.3733  1 Cl 2.63, 4 Cu 2.70
2 In 0.0717 0.0717 0.8764  2 Cu 2.78
3 Cl 0.4449 0.4449 0.3772  1 In 2.63
4 Cu 0.7115 0.7115 0.8730  6 In 2.70-2.78

VASP calculation (GGA-PBE) on InCuCl2 after structural relaxation.

Output
magnetization	0.00	μB per cell
raw formation energy	-0.44	eV/atom
relative energy among the computed polymorphs	0.152	eV per atom

Cell: 5.8178 5.8178 5.8178 Å, 144.89 108.84 81.89°
Closest atoms and distances in Å follow each position.
Sites, in units of the cell vectors:
1 In 0.2705 0.7705 0.5000  2 Cl 2.65, 2 Cu 2.73
2 Cl 0.6777 0.1777 0.5000  2 Cu 2.30
3 Cl 0.0440 0.0440 0.0000  2 In 2.65
4 Cu 0.5078 0.5078 0.0000  2 Cl 2.30

VASP calculation (GGA-PBE) on In2CuCl after structural relaxation.

Output
magnetization	0.00	μB per cell
raw formation energy	-0.11	eV/atom
relative energy among the computed polymorphs	0.082	eV per atom

Cell: 3.4042 3.4042 8.9212 Å, 90.00 90.00 113.98°
Closest atoms and distances in Å follow each position.
Sites, in units of the cell vectors:
1 In 0.5000 0.5000 0.2461  6 In 3.23-3.40, 2 Cl 3.45
2 In 0.0000 0.0000 0.9498  2 Cu 2.69
3 Cu 0.5000 0.5000 0.7319  2 Cl 2.34
4 Cl 0.0000 0.0000 0.5722  2 Cu 2.34

In order of appearance, density = 2341 5549 3965 5777 kg/m³.